20
Lattice="-1.779 -4.008 3.649 -3.742 -2.138 -4.173 5.813 -5.041 -2.631" Properties=species:S:1:pos:R:3 comment="NaAc2MnO6 GGA+U relaxed" final_energy_ev_per_atom=-7.036 density_g_cm3=7.5 vol_a3_per_cell=278 space_group="No. 14" pbc="T T T"
Na -0.890 -2.004 1.825
Na 1.035 -3.589 -3.402
Ac -2.076 -3.329 -4.539
Ac 1.363 -7.042 -2.445
Ac 2.367 -7.858 1.384
Ac -1.071 -4.145 -0.709
Mn 2.017 -4.525 0.509
Mn -1.871 -1.069 -2.086
O -2.801 -2.761 -1.901
O -1.340 -7.603 -2.012
O 3.093 -8.426 -1.254
O 1.632 -3.584 -1.143
O -0.681 -5.144 -3.028
O 1.167 -9.765 -2.707
O 0.972 -6.043 -0.127
O -0.876 -1.422 -0.448
O -2.290 -5.962 0.525
O -0.130 -7.413 -4.439
O 2.582 -5.225 -3.680
O 0.421 -3.774 1.284